Entry 1:
## Cr3Ir (PBE)

Data for a relaxed structure of Cr3Ir.

abc: 2.6435 3.6194 5.2475
angles: 90.00 90.00 90.00
Fractional coordinates of all 4 atoms:
Cr  0.0000  0.0000  0.9910
Cr  0.0000  0.0000  0.5090
Cr  0.5000  0.5000  0.7500
Ir  0.5000  0.5000  0.2500

Properties
Raw total energy: -9.37 eV per atom
Total magnetic moment: 0.00 μB/f.u.
SG: Pmmm, No. 47

Entry 2:
## Li2TePd8 (PBE)

Data for a relaxed structure of Li2TePd8.

abc: 4.5008 5.7912 7.7307
angles: 112.00 106.92 90.00
Fractional coordinates of all 11 atoms:
Li  0.1871  0.6871  0.3742
Li  0.8129  0.3129  0.6258
Te  0.5000  0.0000  0.0000
Pd  0.6510  0.8856  0.3020
Pd  0.3490  0.5836  0.6980
Pd  0.1775  0.1775  0.3551
Pd  0.0000  0.2646  0.0000
Pd  0.8225  0.8225  0.6449
Pd  0.6510  0.4164  0.3020
Pd  0.3490  0.1144  0.6980
Pd  0.0000  0.7354  0.0000

Properties
Raw total energy: -4.64 eV per atom
Total magnetic moment: 0.00 μB/f.u.
SG: Immm, No. 71

Entry 3:
## NaPuBi (PBE)

Data for a relaxed structure of NaPuBi.

abc: 3.4768 5.3804 5.3804
angles: 120.00 90.00 90.00
Fractional coordinates of all 3 atoms:
Na  0.4946  0.3333  0.6667
Bi  0.5054  0.6667  0.3333
Pu  0.0000  0.0000  0.0000

Properties
Raw total energy: -6.60 eV per atom
Total magnetic moment: 6.60 μB/f.u.
SG: P3m1, No. 156

no.,DOS(E_F) (states/eV/cell)
1,4.51
2,7.96
3,10.41